1.
## ZnAgBiO5 (PBE-GGA)

Data for a relaxed ZnAgBiO5 crystal.

Structure (CIF):
```
data_ZnAgBiO5
_space_group_name_H-M_alt 'P 1'
_space_group_IT_number 1
_cell_length_a 10.634
_cell_length_b 5.443
_cell_length_c 9.105
_cell_angle_alpha 64.24
_cell_angle_beta 90.00
_cell_angle_gamma 90.00
loop_
_space_group_symop_operation_xyz
'x,y,z'
loop_
_atom_site_label
_atom_site_type_symbol
_atom_site_fract_x
_atom_site_fract_y
_atom_site_fract_z
Zn1 Zn 0.076 0.589 0.830
Zn2 Zn 0.924 0.411 0.170
Zn3 Zn 0.576 0.411 0.670
Zn4 Zn 0.424 0.589 0.330
Ag1 Ag 0.383 0.282 0.020
Ag2 Ag 0.617 0.718 0.980
Ag3 Ag 0.883 0.718 0.480
Ag4 Ag 0.117 0.282 0.520
Bi1 Bi 0.886 0.018 0.859
Bi2 Bi 0.114 0.982 0.141
Bi3 Bi 0.614 0.018 0.359
Bi4 Bi 0.386 0.982 0.641
O1 O 0.931 0.810 0.722
O2 O 0.972 0.371 0.650
O3 O 0.812 0.089 0.313
O4 O 0.455 0.754 0.511
O5 O 0.704 0.694 0.574
O6 O 0.796 0.694 0.074
O7 O 0.528 0.371 0.150
O8 O 0.472 0.629 0.850
O9 O 0.545 0.246 0.489
O10 O 0.431 0.190 0.778
O11 O 0.296 0.306 0.426
O12 O 0.069 0.190 0.278
O13 O 0.569 0.810 0.222
O14 O 0.204 0.306 0.926
O15 O 0.955 0.246 0.989
O16 O 0.045 0.754 0.011
O17 O 0.188 0.911 0.687
O18 O 0.028 0.629 0.350
O19 O 0.312 0.911 0.187
O20 O 0.688 0.089 0.813
```

***

2.
## ZnAg2BiO4 (PBE-GGA)

Data for a relaxed ZnAg2BiO4 crystal.

Structure (CIF):
```
data_ZnAg2BiO4
_space_group_name_H-M_alt 'P 1'
_space_group_IT_number 1
_cell_length_a 5.316
_cell_length_b 5.317
_cell_length_c 6.005
_cell_angle_alpha 116.27
_cell_angle_beta 116.25
_cell_angle_gamma 90.00
loop_
_space_group_symop_operation_xyz
'x,y,z'
loop_
_atom_site_label
_atom_site_type_symbol
_atom_site_fract_x
_atom_site_fract_y
_atom_site_fract_z
Zn1 Zn 0.736 0.736 0.472
Ag1 Ag 0.486 0.986 0.972
Ag2 Ag 0.236 0.236 0.472
Bi1 Bi 0.986 0.486 0.972
O1 O 0.649 0.617 0.707
O2 O 0.854 0.414 0.237
O3 O 0.383 0.823 0.237
O4 O 0.057 0.089 0.706
```

***

3.
# AgBi2Os, optimized geometry, DFT PBE-GGA
# ΔE to the lowest computed polymorph = 0 meV/atom
# Formation energy from the elements = 0.66 eV per atom
data_AgBi2Os
_space_group_name_H-M_alt 'P 1'
_space_group_IT_number 1
_cell_length_a 4.967
_cell_length_b 4.967
_cell_length_c 4.967
_cell_angle_alpha 60.00
_cell_angle_beta 60.00
_cell_angle_gamma 60.00
loop_
_space_group_symop_operation_xyz
'x,y,z'
loop_
_atom_site_label
_atom_site_type_symbol
_atom_site_fract_x
_atom_site_fract_y
_atom_site_fract_z
Os1 Os 0.500 0.500 0.500
Bi1 Bi 0.250 0.250 0.250
Bi2 Bi 0.750 0.750 0.750
Ag1 Ag 0.000 0.000 0.000

***

4.
# AgBiOs3, optimized geometry, DFT PBE-GGA
# ΔE to the lowest computed polymorph = 0 meV/atom
# Formation energy from the elements = 2.76 eV per atom
data_AgBiOs3
_space_group_name_H-M_alt 'P 1'
_space_group_IT_number 1
_cell_length_a 4.804
_cell_length_b 4.804
_cell_length_c 4.804
_cell_angle_alpha 90.00
_cell_angle_beta 90.00
_cell_angle_gamma 90.00
loop_
_space_group_symop_operation_xyz
'x,y,z'
loop_
_atom_site_label
_atom_site_type_symbol
_atom_site_fract_x
_atom_site_fract_y
_atom_site_fract_z
Os1 Os 0.000 0.500 0.000
Os2 Os 0.000 0.000 0.500
Os3 Os 0.500 0.000 0.000
Bi1 Bi 0.500 0.500 0.500
Ag1 Ag 0.000 0.000 0.000

***

5.
# Ag2BiOs, optimized geometry, DFT PBE-GGA
# Formation energy from the elements = 0.91 eV per atom
data_Ag2BiOs
_space_group_name_H-M_alt 'P 1'
_space_group_IT_number 1
_cell_length_a 7.948
_cell_length_b 7.948
_cell_length_c 6.223
_cell_angle_alpha 50.31
_cell_angle_beta 50.31
_cell_angle_gamma 90.00
loop_
_space_group_symop_operation_xyz
'x,y,z'
loop_
_atom_site_label
_atom_site_type_symbol
_atom_site_fract_x
_atom_site_fract_y
_atom_site_fract_z
Os1 Os 0.500 0.500 0.000
Os2 Os 0.250 0.750 0.500
Bi1 Bi 0.000 0.000 0.000
Bi2 Bi 0.750 0.250 0.500
Ag1 Ag 0.597 0.125 0.250
Ag2 Ag 0.153 0.625 0.250
Ag3 Ag 0.375 0.403 0.750
Ag4 Ag 0.875 0.847 0.750

***

6.
# AgBi2Os, optimized geometry, DFT PBE-GGA
# ΔE to the lowest computed polymorph = 168 meV/atom
# Formation energy from the elements = 0.83 eV per atom
data_AgBi2Os
_space_group_name_H-M_alt 'P 1'
_space_group_IT_number 1
_cell_length_a 6.563
_cell_length_b 6.563
_cell_length_c 7.520
_cell_angle_alpha 64.13
_cell_angle_beta 64.13
_cell_angle_gamma 90.00
loop_
_space_group_symop_operation_xyz
'x,y,z'
loop_
_atom_site_label
_atom_site_type_symbol
_atom_site_fract_x
_atom_site_fract_y
_atom_site_fract_z
Os1 Os 0.000 0.000 0.000
Os2 Os 0.750 0.250 0.500
Bi1 Bi 0.657 0.125 0.250
Bi2 Bi 0.093 0.625 0.250
Bi3 Bi 0.375 0.343 0.750
Bi4 Bi 0.875 0.907 0.750
Ag1 Ag 0.500 0.500 0.000
Ag2 Ag 0.250 0.750 0.500

***

One value per record, in order, for uncorrected energy: -37.38; -35.91; -19.19; -26.63; -17.18; -18.52 eV/f.u..